First-principles (PBEsol) data for ZnSi2Ge after structural relaxation, as listed in Alexandria via LeMat-Bulk.

- SG = Fm-3m
- calculated total energy (eV/cell) = -16.4

a b c (Å): 4.4842 4.4842 4.4842
angles (deg): 60.00 60.00 60.00
With the nearest neighbours (Å) after each atom.
Atoms (fractional coordinates):
1 Zn 0.0000 0.0000 0.0000  8 Si 2.75
2 Si 0.2500 0.2500 0.2500  4 Ge 2.75, 4 Zn 2.75
3 Si 0.7500 0.7500 0.7500  4 Ge 2.75, 4 Zn 2.75
4 Ge 0.5000 0.5000 0.5000  8 Si 2.75


First-principles (PBEsol) data for ZrSiGe3 after structural relaxation, as listed in Alexandria via LeMat-Bulk.

- SG = Pm-3m
- calculated total energy (eV/cell) = -25.3

a b c (Å): 5.0842 5.0842 5.0842
angles (deg): 90.00 90.00 90.00
With the nearest neighbours (Å) after each atom.
Atoms (fractional coordinates):
1 Zr 0.0000 0.0000 0.0000  6 Ge 2.54
2 Si 0.5000 0.5000 0.5000  12 Ge 3.60
3 Ge 0.0000 0.0000 0.5000  2 Zr 2.54
4 Ge 0.0000 0.5000 0.0000  2 Zr 2.54
5 Ge 0.5000 0.0000 0.0000  2 Zr 2.54


First-principles (PBEsol) data for SmGe2 after structural relaxation, as listed in Alexandria via LeMat-Bulk.

- ΔE_f (kJ/mol of formula units) = -186
- SG = I4_1/amd

a b c (Å): 8.5962 8.5962 8.5962
angles (deg): 153.09 153.09 38.42
With the nearest neighbours (Å) after each atom.
Atoms (fractional coordinates):
1 Sm 0.3750 0.6250 0.7500  12 Ge 3.11-3.42
2 Sm 0.6250 0.3750 0.2500  12 Ge 3.11-3.42
3 Ge 0.0460 0.7960 0.2500  3 Ge 2.50-2.56
4 Ge 0.2040 0.9540 0.2500  3 Ge 2.50-2.56
5 Ge 0.7960 0.0460 0.7500  3 Ge 2.50-2.56
6 Ge 0.9540 0.2040 0.7500  3 Ge 2.50-2.56


First-principles (PBEsol) data for SmGe after structural relaxation, as listed in Alexandria via LeMat-Bulk.

- ΔE_f (kJ/mol of formula units) = -178
- SG = Cmcm

a b c (Å): 5.8271 5.8271 3.9617
angles (deg): 90.00 90.00 136.13
With the nearest neighbours (Å) after each atom.
Atoms (fractional coordinates):
1 Sm 0.1387 0.8613 0.7500  7 Ge 3.01-3.23
2 Sm 0.8613 0.1387 0.2500  7 Ge 3.01-3.23
3 Ge 0.4182 0.5818 0.7500  2 Ge 2.66
4 Ge 0.5818 0.4182 0.2500  2 Ge 2.66


First-principles (PBEsol) data for Sm3Ge5 after structural relaxation, as listed in Alexandria via LeMat-Bulk.

- ΔE_f (kJ/mol of formula units) = -622
- energy above the most stable polymorph in this dataset (meV per atom) = 3
- SG = Fdd2

a b c (Å): 11.0944 7.4828 9.1572
angles (deg): 82.98 42.02 55.00
With the nearest neighbours (Å) after each atom.
Atoms (fractional coordinates):
1 Sm 0.0000 0.0000 0.0000  8 Ge 2.97-3.09
2 Sm 0.2500 0.2500 0.2500  8 Ge 2.97-3.09
3 Sm 0.3468 0.6666 0.3155  8 Ge 2.96-3.19
4 Sm 0.5789 0.9345 0.5834  8 Ge 2.96-3.19
5 Sm 0.6666 0.3468 0.6711  8 Ge 2.96-3.19
6 Sm 0.9345 0.5789 0.9032  8 Ge 2.96-3.19
7 Ge 0.0395 0.7733 0.3224  2 Ge 2.54-2.59
8 Ge 0.1817 0.4932 0.9915  3 Ge 2.54-2.59
9 Ge 0.2585 0.9164 0.0683  3 Ge 2.54-2.59
10 Ge 0.3852 0.9276 0.4767  2 Ge 2.54-2.59
11 Ge 0.4504 0.4504 0.5496  2 Ge 2.58
12 Ge 0.4932 0.1817 0.3336  3 Ge 2.54-2.59
13 Ge 0.7004 0.7004 0.7996  2 Ge 2.58
14 Ge 0.7733 0.0395 0.8648  2 Ge 2.54-2.59
15 Ge 0.9164 0.2585 0.7568  3 Ge 2.54-2.59
16 Ge 0.9276 0.3852 0.2105  2 Ge 2.54-2.59


First-principles (PBEsol) data for Sm4Ge7 after structural relaxation, as listed in Alexandria via LeMat-Bulk.

- ΔE_f (kJ/mol of formula units) = -835
- SG = C222_1

a b c (Å): 7.4598 7.4598 11.7307
angles (deg): 90.00 90.00 133.71
With the nearest neighbours (Å) after each atom.
Atoms (fractional coordinates):
1 Sm 0.0048 0.9952 0.7500  10 Ge 3.00-3.27
2 Sm 0.0185 0.5086 0.1196  9 Ge 2.99-3.30
3 Sm 0.4845 0.4845 0.5000  10 Ge 2.98-3.20
4 Sm 0.4914 0.9815 0.3804  9 Ge 2.99-3.30
5 Sm 0.5086 0.0185 0.8804  9 Ge 2.99-3.30
6 Sm 0.5155 0.5155 0.0000  10 Ge 2.98-3.20
7 Sm 0.9815 0.4914 0.6196  9 Ge 2.99-3.30
8 Sm 0.9952 0.0048 0.2500  10 Ge 3.00-3.27
9 Ge 0.0699 0.8919 0.4893  3 Ge 2.45-2.68
10 Ge 0.0808 0.4268 0.3711  3 Ge 2.56-2.57
11 Ge 0.1081 0.9301 0.0107  3 Ge 2.45-2.68
12 Ge 0.1839 0.4756 0.8357  3 Ge 2.57-2.83
13 Ge 0.4268 0.0808 0.6289  3 Ge 2.56-2.57
14 Ge 0.4423 0.5577 0.2500  2 Ge 2.57
15 Ge 0.4756 0.1839 0.1643  3 Ge 2.57-2.83
16 Ge 0.5244 0.8161 0.6643  3 Ge 2.57-2.83
17 Ge 0.5577 0.4423 0.7500  2 Ge 2.57
18 Ge 0.5732 0.9192 0.1289  3 Ge 2.56-2.57
19 Ge 0.8161 0.5244 0.3357  3 Ge 2.57-2.83
20 Ge 0.8919 0.0699 0.5107  3 Ge 2.45-2.68
21 Ge 0.9192 0.5732 0.8711  3 Ge 2.56-2.57
22 Ge 0.9301 0.1081 0.9893  3 Ge 2.45-2.68


First-principles (PBEsol) data for Sm3Ge5 after structural relaxation, as listed in Alexandria via LeMat-Bulk.

- ΔE_f (kJ/mol of formula units) = -624
- energy above the most stable polymorph in this dataset (meV per atom) = 0
- SG = P-62c

a b c (Å): 6.8944 6.8944 8.4304
angles (deg): 90.00 90.00 120.00
With the nearest neighbours (Å) after each atom.
Atoms (fractional coordinates):
1 Sm 0.0000 0.3307 0.0000  8 Ge 2.97-3.13
2 Sm 0.0000 0.3307 0.5000  8 Ge 2.97-3.13
3 Sm 0.3307 0.0000 0.0000  8 Ge 2.97-3.13
4 Sm 0.3307 0.0000 0.5000  8 Ge 2.97-3.13
5 Sm 0.6693 0.6693 0.0000  8 Ge 2.97-3.13
6 Sm 0.6693 0.6693 0.5000  8 Ge 2.97-3.13
7 Ge 0.0000 0.0000 0.2500  3 Ge 2.55
8 Ge 0.0000 0.0000 0.7500  3 Ge 2.55
9 Ge 0.0668 0.6684 0.2500  2 Ge 2.55-2.56
10 Ge 0.3316 0.3984 0.2500  2 Ge 2.55-2.56
11 Ge 0.3333 0.6667 0.7500  3 Ge 2.56
12 Ge 0.3984 0.3316 0.7500  2 Ge 2.55-2.56
13 Ge 0.6016 0.9332 0.2500  2 Ge 2.55-2.56
14 Ge 0.6667 0.3333 0.2500  3 Ge 2.56
15 Ge 0.6684 0.0668 0.7500  2 Ge 2.55-2.56
16 Ge 0.9332 0.6016 0.7500  2 Ge 2.55-2.56


First-principles (PBEsol) data for SmTiGe after structural relaxation, as listed in Alexandria via LeMat-Bulk.

- ΔE_f (kJ/mol of formula units) = -199
- energy above the most stable polymorph in this dataset (meV per atom) = 0
- SG = P4/nmm

a b c (Å): 4.0527 4.0527 7.7172
angles (deg): 90.00 90.00 90.00
With the nearest neighbours (Å) after each atom.
Atoms (fractional coordinates):
1 Sm 0.2500 0.2500 0.1538  5 Ge 3.00-3.25, 4 Ti 3.35
2 Sm 0.7500 0.7500 0.8462  5 Ge 3.00-3.25, 4 Ti 3.35
3 Ti 0.2500 0.7500 0.5000  4 Ge 2.71, 4 Ti 2.87
4 Ti 0.7500 0.2500 0.5000  4 Ge 2.71, 4 Ti 2.87
5 Ge 0.2500 0.2500 0.7332  4 Ti 2.71, 4 Sm 3.00
6 Ge 0.7500 0.7500 0.2668  4 Ti 2.71, 4 Sm 3.00


Number 1: magnetization 0.0000 μB/atom. Number 2: magnetization 0.0000 μB/atom. Number 3: magnetization 0.0000 μB/atom. Number 4: magnetization 0.0001 μB/atom. Number 5: magnetization 0.0000 μB/atom. Number 6: magnetization 0.0000 μB/atom. Number 7: magnetization 0.0000 μB/atom. Number 8: magnetization 0.0187 μB/atom.